No. 1
VASP calculation (PBE-GGA) on an optimized crystal structure of HgBiAu2.

Lattice parameters (Å, degrees): 4.246 5.969 7.426 90.00 90.00 90.00
Sites, in units of the cell vectors:
Hg1 0.500 0.627 0.822
Au1 0.000 0.421 0.043
Hg2 0.500 0.373 0.322
Bi1 0.000 0.874 0.173
Au2 0.500 0.106 0.962
Au3 0.000 0.579 0.543
Au4 0.500 0.894 0.462
Bi2 0.000 0.126 0.673

Summary:
- Space-group type: Pmc2_1
- Volume: 23.5 Å³ per atom
- VASP energy: -0.196 Ry/atom
- Energy of formation: 17 meV per atom

No. 2
VASP calculation (PBE-GGA) on an optimized crystal structure of PmS2O6F2.

Lattice parameters (Å, degrees): 5.888 5.888 5.919 90.00 90.00 120.00
Site moments in Bohr magnetons follow the coordinates.
Sites, in units of the cell vectors:
O1 0.195 0.389 0.791  0.03
S1 0.667 0.333 0.284  0.15
F1 0.667 0.333 0.589  0.12
O2 0.805 0.195 0.209  0.03
O3 0.389 0.195 0.209  0.03
O4 0.611 0.805 0.791  0.03
O5 0.195 0.805 0.791  0.03
O6 0.805 0.611 0.209  0.03
F2 0.333 0.667 0.411  0.12
S2 0.333 0.667 0.716  0.15
Pm1 0.000 0.000 0.000  0.10

Summary:
- Space-group type: P-3m1
- E_form (uncorrected): -1.774 eV/atom
- Volume: 16.2 Å³ per atom
- VASP energy: -0.441 Ry/atom

No. 3
VASP calculation (PBE-GGA) on an optimized crystal structure of Ho4AuSe2S.

Lattice parameters (Å, degrees): 3.953 7.093 7.116 71.44 90.00 90.00
Sites, in units of the cell vectors:
Ho1 0.500 0.258 0.750
S1 0.500 0.500 0.000
Ho2 0.500 0.742 0.250
Ho3 0.000 0.739 0.760
Au1 0.000 0.500 0.500
Se1 0.000 0.000 0.000
Ho4 0.000 0.261 0.240
Se2 0.500 0.000 0.500

Summary:
- Space-group type: P2/m
- E_form (uncorrected): -1.553 eV/atom
- Volume: 23.6 Å³ per atom
- VASP energy: -0.414 Ry/atom

No. 4
VASP calculation (PBE-GGA) on an optimized crystal structure of MgCo3Cu.

Lattice parameters (Å, degrees): 4.348 4.348 4.348 90.00 90.00 90.00
Site moments in Bohr magnetons follow the coordinates.
Sites, in units of the cell vectors:
Co1 0.000 0.000 0.500  2.17
Co2 0.500 0.000 0.000  1.21
Mg1 0.500 0.500 0.500  -0.03
Co3 0.000 0.500 0.000  1.76
Cu1 0.000 0.000 0.000  0.20

Summary:
- Space-group type: Pm-3m
- Volume: 16.4 Å³ per atom
- VASP energy: -0.322 Ry/atom
- Energy of formation: 1023 meV per atom

No. 5
VASP calculation (PBE-GGA) on an optimized crystal structure of LaNd2Br.

Lattice parameters (Å, degrees): 3.781 3.781 10.763 79.88 79.88 60.00
Sites, in units of the cell vectors:
Nd1 0.259 0.259 0.224
Br1 0.000 0.000 0.000
Nd2 0.741 0.741 0.776
La1 0.500 0.500 0.500

Summary:
- Space-group type: R-3m
- E_form (uncorrected): -0.582 eV/atom
- Volume: 32.6 Å³ per atom
- VASP energy: -0.339 Ry/atom

No. 6
VASP calculation (PBE-GGA) on an optimized crystal structure of Co2BrCl.

Lattice parameters (Å, degrees): 3.531 3.531 7.330 90.00 90.00 125.36
Site moments in Bohr magnetons follow the coordinates.
Sites, in units of the cell vectors:
Br1 0.500 0.500 0.250  0.09
Co1 0.000 0.000 0.510  1.87
Cl1 0.500 0.500 0.750  0.08
Co2 0.000 0.000 0.990  1.87

Summary:
- Space-group type: Cmmm
- E_form (uncorrected): 0.499 eV/atom
- Volume: 18.6 Å³ per atom
- VASP energy: -0.289 Ry/atom

No. 7
VASP calculation (PBE-GGA) on an optimized crystal structure of CuGeRu.

Lattice parameters (Å, degrees): 3.105 3.105 4.807 108.84 108.84 90.00
Sites, in units of the cell vectors:
Ge1 0.612 0.612 0.225
Ru1 0.960 0.960 0.920
Cu1 0.278 0.278 0.556

Summary:
- Space-group type: I4mm
- Volume: 13.7 Å³ per atom
- VASP energy: -0.437 Ry/atom
- Energy of formation: 52 meV per atom

No. 8
VASP calculation (PBE-GGA) on an optimized crystal structure of LiMnAu.

Lattice parameters (Å, degrees): 4.359 4.359 4.359 60.00 60.00 60.00
Site moments in Bohr magnetons follow the coordinates.
Sites, in units of the cell vectors:
Mn1 0.500 0.500 0.500  4.05
Au1 0.750 0.750 0.750  0.09
Li1 0.000 0.000 0.000  -0.02

Summary:
- Space-group type: F-43m
- Volume: 19.5 Å³ per atom
- VASP energy: -0.347 Ry/atom
- Energy of formation: 72 meV per atom

Which of these has the lowest VASP energy?
PmS2O6F2

Please write out number 3 again, unchanged.
VASP calculation (PBE-GGA) on an optimized crystal structure of Ho4AuSe2S.

Lattice parameters (Å, degrees): 3.953 7.093 7.116 71.44 90.00 90.00
Sites, in units of the cell vectors:
Ho1 0.500 0.258 0.750
S1 0.500 0.500 0.000
Ho2 0.500 0.742 0.250
Ho3 0.000 0.739 0.760
Au1 0.000 0.500 0.500
Se1 0.000 0.000 0.000
Ho4 0.000 0.261 0.240
Se2 0.500 0.000 0.500

Summary:
- Space-group type: P2/m
- E_form (uncorrected): -1.553 eV/atom
- Volume: 23.6 Å³ per atom
- VASP energy: -0.414 Ry/atom